[1]
DFT (PBE) results for AlCrRe2 after structural relaxation.

abc: 8.8727 8.8727 8.8727
angles: 17.86 17.86 17.86
Closest atoms and distances in Å follow each position.
Atoms (fractional coordinates):
Al 0.0000 0.0000 0.0000  3 Cr 2.65, 6 Al 2.75, 3 Re 2.77
Cr 0.2525 0.2525 0.2525  3 Al 2.65, 3 Re 2.67, 6 Cr 2.75
Re 0.5038 0.5038 0.5038  3 Cr 2.67, 9 Re 2.71-2.75
Re 0.7534 0.7534 0.7534  9 Re 2.71-2.75, 3 Al 2.77

Calculated values
Its symmetry is R3m. As for the density of states at the Fermi level: 0.669 states/eV per atom. For the magnetic moment, the calculation gives 0.00 μB per atom. Its final energy is -37.98 eV/cell.



[2]
DFT (PBE) results for Al2CrRe after structural relaxation.

abc: 3.7842 3.7842 3.9605
angles: 90.00 90.00 90.00
Closest atoms and distances in Å follow each position.
Atoms (fractional coordinates):
Al 0.0000 0.5000 0.0000  4 Al 2.68, 4 Re 2.74, 4 Cr 2.74
Al 0.5000 0.0000 0.0000  4 Al 2.68, 4 Re 2.74, 4 Cr 2.74
Cr 0.0000 0.0000 0.5000  4 Re 2.68, 8 Al 2.74
Re 0.5000 0.5000 0.5000  4 Cr 2.68, 8 Al 2.74

Calculated values
Its symmetry is P4/mmm. As for the density of states at the Fermi level: 0.873 states/eV per atom. For the distance to the lowest polymorph of the same formula, the calculation gives 221 meV per atom. For the magnetic moment, the calculation gives 0.33 μB per atom. Its final energy is -29.66 eV/cell.



[3]
DFT (PBE) results for AlCrRe2 after structural relaxation.

abc: 3.0196 3.0196 6.1072
angles: 90.00 90.00 90.00
Closest atoms and distances in Å follow each position.
Atoms (fractional coordinates):
Al 0.0000 0.0000 0.0000  4 Cr 2.61, 5 Re 2.65-2.84
Cr 0.5000 0.5000 0.2461  4 Re 2.52, 4 Al 2.61
Re 0.0000 0.0000 0.4644  4 Cr 2.52, 4 Re 2.73
Re 0.5000 0.5000 0.7424  4 Al 2.65, 4 Re 2.73

Calculated values
Its symmetry is P4mm. As for the density of states at the Fermi level: 1.099 states/eV per atom. For the magnetic moment, the calculation gives 0.00 μB per atom. Its final energy is -38.48 eV/cell.



[4]
DFT (PBE) results for AlCrRe2 after structural relaxation.

abc: 4.9805 4.9805 2.6786
angles: 101.02 101.02 115.33
Closest atoms and distances in Å follow each position.
Atoms (fractional coordinates):
Al 0.0000 0.0000 0.0000  4 Re 2.59, 2 Cr 2.66, 2 Al 2.68
Cr 0.5000 0.5000 0.0000  4 Re 2.59, 2 Al 2.66, 2 Cr 2.68
Re 0.0000 0.5000 0.5000  2 Cr 2.59, 2 Al 2.59, 4 Re 2.66-2.68
Re 0.5000 0.0000 0.5000  2 Cr 2.59, 2 Al 2.59, 4 Re 2.66-2.68

Calculated values
Its symmetry is C2/m. As for the density of states at the Fermi level: 0.849 states/eV per atom. For the magnetic moment, the calculation gives 0.00 μB per atom. Its final energy is -38.19 eV/cell.



[5]
DFT (PBE) results for Al2CrRe after structural relaxation.

abc: 5.4565 5.4565 5.4565
angles: 103.39 103.39 122.47
Closest atoms and distances in Å follow each position.
Atoms (fractional coordinates):
Al 0.1158 0.6250 0.9908  2 Cr 2.44, 2 Re 2.52, 2 Al 2.63
Al 0.3750 0.3658 0.4908  2 Cr 2.44, 2 Re 2.52, 2 Al 2.63
Al 0.6342 0.1250 0.0092  2 Cr 2.44, 2 Re 2.52, 2 Al 2.63
Al 0.8750 0.8842 0.5092  2 Cr 2.44, 2 Re 2.52, 2 Al 2.63
Cr 0.0000 0.0000 0.0000  4 Al 2.44, 2 Re 2.63
Cr 0.7500 0.2500 0.5000  4 Al 2.44, 2 Re 2.63
Re 0.2500 0.7500 0.5000  4 Al 2.52, 2 Cr 2.63
Re 0.5000 0.5000 0.0000  4 Al 2.52, 2 Cr 2.63

Calculated values
Its symmetry is I-42d. As for the density of states at the Fermi level: 1.041 states/eV per atom. For the distance to the lowest polymorph of the same formula, the calculation gives 845 meV per atom. For the magnetic moment, the calculation gives 0.00 μB per atom. Its final energy is -54.33 eV/cell.



[6]
DFT (PBE) results for AlCr2Re2 after structural relaxation.

abc: 4.9511 4.9511 4.9511
angles: 50.76 50.76 50.76
Closest atoms and distances in Å follow each position.
Atoms (fractional coordinates):
Al 0.0000 0.0000 0.0000  6 Cr 2.61, 2 Re 2.67
Cr 0.4032 0.4032 0.4032  1 Cr 2.50, 4 Re 2.53-2.56, 3 Al 2.61
Cr 0.5968 0.5968 0.5968  1 Cr 2.50, 4 Re 2.53-2.56, 3 Al 2.61
Re 0.2071 0.2071 0.2071  4 Cr 2.53-2.56, 3 Re 2.66, 1 Al 2.67
Re 0.7929 0.7929 0.7929  4 Cr 2.53-2.56, 3 Re 2.66, 1 Al 2.67

Calculated values
Its symmetry is R-3m. As for the density of states at the Fermi level: 0.577 states/eV per atom. For the magnetic moment, the calculation gives 0.00 μB per atom. Its final energy is -48.54 eV/cell.



[7]
DFT (PBE) results for AlCrRe2 after structural relaxation.

abc: 4.2944 4.2944 2.9901
angles: 90.00 90.00 90.00
Closest atoms and distances in Å follow each position.
Atoms (fractional coordinates):
Al 0.0000 0.0000 0.0000  8 Re 2.62
Cr 0.5000 0.5000 0.0000  8 Re 2.62
Re 0.0000 0.5000 0.5000  4 Cr 2.62, 4 Al 2.62
Re 0.5000 0.0000 0.5000  4 Cr 2.62, 4 Al 2.62

Calculated values
Its symmetry is P4/mmm. As for the density of states at the Fermi level: 0.787 states/eV per atom. For the magnetic moment, the calculation gives 0.00 μB per atom. Its final energy is -38.24 eV/cell.



[8]
DFT (PBE) results for AlCrRe2 after structural relaxation.

abc: 2.6852 4.2421 5.0458
angles: 90.00 103.22 90.00
Closest atoms and distances in Å follow each position.
Atoms (fractional coordinates):
Al 0.0000 0.0000 0.0000  4 Re 2.56-2.70, 2 Cr 2.58, 2 Al 2.69
Cr 0.7450 0.5000 0.2300  4 Re 2.45-2.70, 2 Al 2.58, 2 Cr 2.69
Re 0.3035 0.5000 0.7474  2 Cr 2.45-2.70, 4 Re 2.67-2.69, 2 Al 2.70
Re 0.5568 0.0000 0.4856  2 Al 2.56-2.60, 2 Cr 2.59, 4 Re 2.67-2.69

Calculated values
Its symmetry is Pm. As for the density of states at the Fermi level: 0.676 states/eV per atom. For the magnetic moment, the calculation gives 0.00 μB per atom. Its final energy is -38.43 eV/cell.



[9]
DFT (PBE) results for Al2CrRe after structural relaxation.

abc: 4.2515 4.2515 4.2515
angles: 119.94 119.94 90.10
Closest atoms and distances in Å follow each position.
Atoms (fractional coordinates):
Al 0.0000 0.0000 0.0000  4 Re 2.60, 4 Al 2.60
Al 0.7500 0.2500 0.5000  4 Cr 2.60, 4 Al 2.60
Cr 0.5000 0.5000 0.0000  4 Re 2.60, 4 Al 2.60
Re 0.2500 0.7500 0.5000  4 Cr 2.60, 4 Al 2.60

Calculated values
Its symmetry is I-4m2. As for the density of states at the Fermi level: 0.567 states/eV per atom. For the distance to the lowest polymorph of the same formula, the calculation gives 101 meV per atom. For the magnetic moment, the calculation gives 0.00 μB per atom. Its final energy is -30.14 eV/cell.



[10]
DFT (PBE) results for Al2CrRe after structural relaxation.

abc: 2.6685 2.6685 7.9091
angles: 90.00 90.00 90.00
Closest atoms and distances in Å follow each position.
Atoms (fractional coordinates):
Al 0.0000 0.0000 0.2414  4 Al 2.67, 4 Cr 2.68, 4 Re 2.78
Al 0.0000 0.0000 0.7586  4 Al 2.67, 4 Cr 2.68, 4 Re 2.78
Cr 0.5000 0.5000 0.0000  4 Cr 2.67, 8 Al 2.68
Re 0.5000 0.5000 0.5000  4 Re 2.67, 8 Al 2.78

Calculated values
Its symmetry is P4/mmm. As for the density of states at the Fermi level: 1.108 states/eV per atom. For the distance to the lowest polymorph of the same formula, the calculation gives 323 meV per atom. For the magnetic moment, the calculation gives 0.00 μB per atom. Its final energy is -29.25 eV/cell.



[11]
DFT (PBE) results for Al2CrRe2 after structural relaxation.

abc: 6.6323 6.6323 3.2281
angles: 90.00 90.00 90.00
Closest atoms and distances in Å follow each position.
Atoms (fractional coordinates):
Al 0.1346 0.3654 0.0000  6 Re 2.48-2.57, 1 Al 2.53, 2 Cr 2.58
Al 0.3654 0.8654 0.0000  6 Re 2.48-2.57, 1 Al 2.53, 2 Cr 2.58
Al 0.6346 0.1346 0.0000  6 Re 2.48-2.57, 1 Al 2.53, 2 Cr 2.58
Al 0.8654 0.6346 0.0000  6 Re 2.48-2.57, 1 Al 2.53, 2 Cr 2.58
Cr 0.0000 0.0000 0.0000  4 Al 2.58
Cr 0.5000 0.5000 0.0000  4 Al 2.58
Re 0.1649 0.6649 0.5000  6 Al 2.48-2.57
Re 0.3351 0.1649 0.5000  6 Al 2.48-2.57
Re 0.6649 0.8351 0.5000  6 Al 2.48-2.57
Re 0.8351 0.3351 0.5000  6 Al 2.48-2.57

Calculated values
Its symmetry is P4/mbm. As for the density of states at the Fermi level: 1.128 states/eV per atom. For the magnetic moment, the calculation gives 0.00 μB per atom. Its final energy is -81.55 eV/cell.



[12]
DFT (PBE) results for AlCrRe2 after structural relaxation.

abc: 2.6752 2.6752 8.5954
angles: 90.00 90.00 112.40
Closest atoms and distances in Å follow each position.
Atoms (fractional coordinates):
Al 0.0000 0.0000 0.0000  2 Cr 2.55, 2 Re 2.67, 4 Al 2.68
Cr 0.5000 0.5000 0.7598  2 Re 2.52, 2 Al 2.55, 4 Cr 2.68
Re 0.0000 0.0000 0.5228  2 Cr 2.52, 6 Re 2.68-2.72
Re 0.5000 0.5000 0.2573  2 Al 2.67, 8 Re 2.68-2.98

Calculated values
Its symmetry is Cmm2. As for the density of states at the Fermi level: 1.017 states/eV per atom. For the magnetic moment, the calculation gives 0.00 μB per atom. Its final energy is -37.86 eV/cell.